# 1
## LaDy2Tm3 (PBE)

Data for crystalline LaDy2Tm3 at its relaxed geometry.

Computed properties:
Calculated formation energy (eV per formula unit): 0.10
Total energy (eV/cell): -109.77
ΔE to the lowest computed polymorph (eV per formula unit): 0.00

abc: 21.8569 3.6304 11.3024
angles: 90.00 120.93 90.00
Space group C2/m (No. 12)
Asymmetric unit:
La (0.1111, 0.0000, 0.4844)
Dy (0.0579, 0.5000, 0.6905)
Dy (0.2247, 0.0000, 0.8514)
Tm (0.0551, 0.5000, 0.1745)
Tm (0.1109, 0.0000, 0.9884)
Tm (0.2206, 0.0000, 0.3442)

=====

# 2
## La2Dy2Tm15 (PBE)

Data for crystalline La2Dy2Tm15 at its relaxed geometry.

Computed properties:
Calculated formation energy (eV per formula unit): 5.42
Total energy (eV/cell): -242.13

abc: 11.1327 11.1327 17.3470
angles: 90.00 90.00 120.00
Space group R-3m (No. 166, hexagonal axes)
Asymmetric unit:
La (0.0000, 0.0000, 0.1183)
Dy (0.0000, 0.0000, 0.3322)
Tm (0.0000, 0.3072, 0.0000)
Tm (0.0000, 0.5000, 0.5000)
Tm (0.0138, 0.5069, 0.1404)

=====

# 3
## La12DyTm7 (PBE)

Data for crystalline La12DyTm7 at its relaxed geometry.

Computed properties:
Calculated formation energy (eV per formula unit): 3.94
Total energy (eV/cell): -273.27

abc: 19.5545 19.5545 6.3407
angles: 90.00 90.00 120.00
Space group R-3m (No. 166, hexagonal axes)
Asymmetric unit:
La (0.0000, 0.4083, 0.0000)
La (0.0974, 0.5487, 0.4752)
Dy (0.0000, 0.0000, 0.5000)
Tm (0.0000, 0.0000, 0.0000)
Tm (0.0819, 0.1638, 0.3028)

=====

| no. | Fermi-level density of states (states/eV/atom) |
| --- | --- |
| 1 | 1.697 |
| 2 | 1.707 |
| 3 | 1.410 |